Density functional theory data (PBE-GGA) for crystalline Li5LaCd2 at its relaxed geometry.

total moment: 0.0 μB per formula unit
E_form: -0.1091 eV/atom
density: 3.66 g cm⁻³
volume: 361.2 Å³ per cell

Cell lengths 3.2659, 9.3471, 11.8307 Å; angles 90.00, 90.00, 90.00 degrees
Last column: nearest neighbours and their distance in Å.
Space group Immm (No. 71)
One atom of each set of equivalent atoms:
Li 0.0000 0.0000 0.0000 (multiplicity 2)  2 Cd 2.98, 10 Li 3.07-3.27
Li 0.0000 0.2874 0.3585 (multiplicity 8)  3 Cd 2.89-2.97, 4 Li 3.07-3.12
La 0.0000 0.5000 0.0000 (multiplicity 2)  2 La 3.27, 4 Cd 3.36, 8 Li 3.56
Cd 0.0000 0.0000 0.2521 (multiplicity 4)  7 Li 2.89-2.98